No. 1
Computed, not measured: crystalline Pr3Al at its relaxed geometry at the PBE level of DFT.

Results
DFT formation energy in eV per atom: -0.143
E in eV per atom: -4.663
ΔE to the lowest computed polymorph in meV/atom: 29
Total magnetic moment in μB per formula unit: 0.00

```
data_Pr3Al
_cell_length_a 4.8636
_cell_length_b 4.8636
_cell_length_c 10.1668
_cell_angle_alpha 90.00
_cell_angle_beta 90.00
_cell_angle_gamma 90.00
_space_group_name_H-M_alt 'I 4/m m m'
_space_group_IT_number 139
_space_group_name_Hall '-I 4 2'
loop_
_atom_site_label
_atom_site_type_symbol
_atom_site_fract_x
_atom_site_fract_y
_atom_site_fract_z
Pr1 Pr 0.0000 0.0000 0.0000
Pr2 Pr 0.0000 0.5000 0.2500
Al1 Al 0.0000 0.0000 0.5000
```



No. 2
Computed, not measured: crystalline LiSmGa2 at its relaxed geometry at the PBE level of DFT.

Results
DFT formation energy in eV per atom: -0.488
E in eV per atom: -3.659
ΔE to the lowest computed polymorph in meV/atom: 0
Total magnetic moment in μB per formula unit: 0.00

```
data_LiSmGa2
_cell_length_a 4.3240
_cell_length_b 4.3240
_cell_length_c 15.3983
_cell_angle_alpha 90.00
_cell_angle_beta 90.00
_cell_angle_gamma 120.00
_space_group_name_H-M_alt 'R -3 m'
_space_group_IT_number 166
_space_group_name_Hall '-R 3 2"'
loop_
_atom_site_label
_atom_site_type_symbol
_atom_site_fract_x
_atom_site_fract_y
_atom_site_fract_z
Li1 Li 0.0000 0.0000 0.0000
Sm1 Sm 0.0000 0.0000 0.5000
Ga1 Ga 0.0000 0.0000 0.2901
```



No. 3
Computed, not measured: crystalline Ca3Ge3Ir2 at its relaxed geometry at the PBE level of DFT.

Results
DFT formation energy in eV per atom: -0.665
E in eV per atom: -5.363
Total magnetic moment in μB per formula unit: 0.00

```
data_Ca3Ge3Ir2
_cell_length_a 4.3535
_cell_length_b 10.7835
_cell_length_c 14.5459
_cell_angle_alpha 90.00
_cell_angle_beta 90.00
_cell_angle_gamma 90.00
_space_group_name_H-M_alt 'C m c m'
_space_group_IT_number 63
_space_group_name_Hall '-C 2c 2'
loop_
_atom_site_label
_atom_site_type_symbol
_atom_site_fract_x
_atom_site_fract_y
_atom_site_fract_z
Ca1 Ca 0.0000 0.0757 0.1110
Ca2 Ca 0.0000 0.3650 0.2500
Ge1 Ge 0.0000 0.3324 0.7500
Ge2 Ge 0.0000 0.3633 0.0378
Ir1 Ir 0.0000 0.2110 0.6004
```